No. 1
First-principles (PBE) data for a geometry-optimized IrRu4 structure, as listed in the Alexandria database.

The total magnetic moment is 0.000 μB/cell. The calculation puts the uncorrected energy at -45.735 eV per formula unit. For the formation energy, the calculation gives 0.046 eV/atom. Its symmetry is No. 87. Its density is 14.107 g cm⁻³. For the energy relative to the lowest polymorph listed for this composition, the calculation gives 0 meV/atom.

a b c (Å): 3.827 4.691 4.691
angles (deg): 99.58 114.07 65.93
Positions (direct):
1 Ru 0.198 0.203 0.600
2 Ru 0.599 0.600 0.797
3 Ir 0.000 0.000 0.000
4 Ru 0.802 0.797 0.400
5 Ru 0.401 0.400 0.203

***

No. 2
First-principles (PBE) data for a geometry-optimized Ir3Ru5 structure, as listed in the Alexandria database.

The total magnetic moment is 0.000 μB/cell. The calculation puts the uncorrected energy at -73.047 eV per formula unit. For the formation energy, the calculation gives -0.011 eV/atom. Its symmetry is No. 65. Its density is 15.902 g cm⁻³. For the energy relative to the lowest polymorph listed for this composition, the calculation gives 9 meV/atom.

a b c (Å): 5.412 5.412 3.857
angles (deg): 90.00 90.00 90.05
Positions (direct):
1 Ru 0.000 0.000 0.000
2 Ir 0.751 0.751 0.500
3 Ir 0.249 0.249 0.500
4 Ru 0.751 0.249 0.500
5 Ru 0.500 0.000 0.000
6 Ru 0.000 0.500 0.000
7 Ir 0.500 0.500 0.000
8 Ru 0.249 0.751 0.500

***

No. 3
First-principles (PBE) data for a geometry-optimized Ir5Ru structure, as listed in the Alexandria database.

The total magnetic moment is 3.372 μB/cell. The calculation puts the uncorrected energy at -49.176 eV per formula unit. For the formation energy, the calculation gives 0.734 eV/atom. Its symmetry is No. 191. Its density is 17.699 g cm⁻³. For the energy relative to the lowest polymorph listed for this composition, the calculation gives 760 meV/atom.

a b c (Å): 5.093 5.093 4.437
angles (deg): 90.00 90.00 120.00
Positions (direct):
1 Ir 0.500 0.500 0.500
2 Ru 0.000 0.000 0.000
3 Ir 0.500 0.000 0.500
4 Ir 0.000 0.500 0.500
5 Ir 0.667 0.333 0.000
6 Ir 0.333 0.667 0.000

***

No. 4
First-principles (PBE) data for a geometry-optimized Ir3Ru4 structure, as listed in the Alexandria database.

The total magnetic moment is 0.000 μB/cell. The calculation puts the uncorrected energy at -63.938 eV per formula unit. For the formation energy, the calculation gives -0.036 eV/atom. Its symmetry is No. 176. Its density is 16.436 g cm⁻³. For the energy relative to the lowest polymorph listed for this composition, the calculation gives 0 meV/atom.

a b c (Å): 4.331 7.269 7.269
angles (deg): 120.00 90.00 90.00
Positions (direct):
1 Ir 0.750 0.242 0.047
2 Ir 0.750 0.953 0.195
3 Ru 0.250 0.333 0.667
4 Ir 0.250 0.047 0.805
5 Ru 0.250 0.478 0.096
6 Ru 0.250 0.617 0.522
7 Ir 0.250 0.195 0.242
8 Ru 0.750 0.383 0.478
9 Ru 0.750 0.667 0.333
10 Ir 0.250 0.758 0.953
11 Ir 0.750 0.805 0.758
12 Ru 0.250 0.904 0.383
13 Ru 0.750 0.522 0.904
14 Ru 0.750 0.096 0.617

***

No. 5
First-principles (PBE) data for a geometry-optimized Ir2Ru structure, as listed in the Alexandria database.

The total magnetic moment is 0.000 μB/cell. The calculation puts the uncorrected energy at -27.102 eV per formula unit. For the formation energy, the calculation gives -0.035 eV/atom. Its symmetry is No. 164. Its density is 18.794 g cm⁻³. For the energy relative to the lowest polymorph listed for this composition, the calculation gives 0 meV/atom.

a b c (Å): 2.718 2.718 6.705
angles (deg): 90.00 90.00 120.00
Positions (direct):
1 Ir 0.333 0.667 0.662
2 Ir 0.000 0.000 0.005
3 Ru 0.667 0.333 0.333

***

No. 6
First-principles (PBE) data for a geometry-optimized Ir7Ru3 structure, as listed in the Alexandria database.

The total magnetic moment is 0.000 μB/cell. The calculation puts the uncorrected energy at -90.122 eV per formula unit. For the formation energy, the calculation gives -0.027 eV/atom. Its symmetry is No. 12. Its density is 19.112 g cm⁻³.

a b c (Å): 3.851 5.450 7.221
angles (deg): 100.81 105.46 90.00
Positions (direct):
1 Ru 0.000 0.000 0.000
2 Ir 0.601 0.300 0.201
3 Ir 0.200 0.102 0.400
4 Ir 0.399 0.700 0.799
5 Ir 0.800 0.898 0.600
6 Ir 0.000 0.500 0.000
7 Ir 0.401 0.200 0.801
8 Ru 0.798 0.401 0.597
9 Ru 0.202 0.599 0.403
10 Ir 0.599 0.800 0.199

***

- Which of these has the highest uncorrected energy?
  Ir2Ru